No. 1
The following is a GGA-PBE calculation of a relaxed structure of Sr2LiBr, from the Alexandria database.

Structure (CIF):
```
data_Sr2LiBr
_chemical_formula_sum 'Sr2 Li1 Br1'
_symmetry_space_group_name_H-M 'P 1'
_symmetry_Int_Tables_number 1
_cell_length_a 6.100
_cell_length_b 6.100
_cell_length_c 3.892
_cell_angle_alpha 90.43
_cell_angle_beta 90.43
_cell_angle_gamma 89.49
loop_
_symmetry_equiv_pos_as_xyz
'x,y,z'
loop_
_atom_site_label
_atom_site_fract_x
_atom_site_fract_y
_atom_site_fract_z
Sr1 0.000 0.500 0.000
Sr2 0.500 0.000 0.000
Li1 0.000 0.000 0.500
Br1 0.500 0.500 0.500
```

## Properties
Its polymorph energy (0 for the lowest one) is 0.115 eV/atom. For the calculated volume, the calculation gives 144.8 Å³/cell. For the total energy, the calculation gives -2.29 eV per atom. The magnetization is 0.0 μB/cell.


No. 2
The following is a GGA-PBE calculation of a relaxed structure of SrLiBr2, from the Alexandria database.

Structure (CIF):
```
data_SrLiBr2
_chemical_formula_sum 'Sr1 Li1 Br2'
_symmetry_space_group_name_H-M 'P 1'
_symmetry_Int_Tables_number 1
_cell_length_a 5.433
_cell_length_b 5.433
_cell_length_c 5.433
_cell_angle_alpha 60.00
_cell_angle_beta 60.00
_cell_angle_gamma 60.00
loop_
_symmetry_equiv_pos_as_xyz
'x,y,z'
loop_
_atom_site_label
_atom_site_fract_x
_atom_site_fract_y
_atom_site_fract_z
Sr1 0.000 0.000 0.000
Li1 0.500 0.500 0.500
Br1 0.250 0.250 0.250
Br2 0.750 0.750 0.750
```

## Properties
Its polymorph energy (0 for the lowest one) is 0.215 eV/atom. For the calculated volume, the calculation gives 113.4 Å³/cell. For the total energy, the calculation gives -2.95 eV per atom. The magnetization is 0.6 μB/cell.


No. 3
The following is a GGA-PBE calculation of a relaxed structure of SrLiBr2, from the Alexandria database.

Structure (CIF):
```
data_SrLiBr2
_chemical_formula_sum 'Sr1 Li1 Br2'
_symmetry_space_group_name_H-M 'P 1'
_symmetry_Int_Tables_number 1
_cell_length_a 7.592
_cell_length_b 7.592
_cell_length_c 5.222
_cell_angle_alpha 107.38
_cell_angle_beta 107.38
_cell_angle_gamma 29.90
loop_
_symmetry_equiv_pos_as_xyz
'x,y,z'
loop_
_atom_site_label
_atom_site_fract_x
_atom_site_fract_y
_atom_site_fract_z
Sr1 0.000 0.000 0.000
Li1 0.708 0.708 0.853
Br1 0.318 0.318 0.823
Br2 0.533 0.533 0.511
```

## Properties
Its polymorph energy (0 for the lowest one) is 0.087 eV/atom. For the calculated volume, the calculation gives 142.7 Å³/cell. For the total energy, the calculation gives -3.08 eV per atom. The magnetization is 0.5 μB/cell.


No. 4
The following is a GGA-PBE calculation of a relaxed structure of SrLi2Br4, from the Alexandria database.

Structure (CIF):
```
data_SrLi2Br4
_chemical_formula_sum 'Sr1 Li2 Br4'
_symmetry_space_group_name_H-M 'P 1'
_symmetry_Int_Tables_number 1
_cell_length_a 5.934
_cell_length_b 5.934
_cell_length_c 6.897
_cell_angle_alpha 90.00
_cell_angle_beta 90.00
_cell_angle_gamma 90.00
loop_
_symmetry_equiv_pos_as_xyz
'x,y,z'
loop_
_atom_site_label
_atom_site_fract_x
_atom_site_fract_y
_atom_site_fract_z
Sr1 0.000 0.000 0.000
Li1 0.000 0.500 0.500
Li2 0.500 0.000 0.500
Br1 0.262 0.262 0.285
Br2 0.262 0.738 0.715
Br3 0.738 0.262 0.715
Br4 0.738 0.738 0.285
```

## Properties
Its polymorph energy (0 for the lowest one) is 0.075 eV/atom. For the calculated volume, the calculation gives 242.8 Å³/cell. For the total energy, the calculation gives -3.44 eV per atom. The magnetization is 0.0 μB/cell.